## Hf2CuPd2 (PBE)

Data for a relaxed structure of Hf2CuPd2.

The structure in extended XYZ format:
```
10
Lattice="7.302 0.000 0.000 0.000 7.302 0.000 0.000 0.000 3.389" Properties=species:S:1:pos:R:3 pbc="T T T"
Hf 6.041 2.390 1.695
Hf 2.390 1.261 1.695
Hf 4.912 6.041 1.695
Hf 1.261 4.912 1.695
Pd 6.341 4.612 0.000
Pd 0.961 2.690 0.000
Pd 4.612 0.961 0.000
Pd 2.690 6.341 0.000
Cu 3.651 3.651 0.000
Cu 0.000 0.000 0.000
```

* V: 18.071 Å³/atom
* energy relative to the elements: -0.444 eV per atom
* ΔE to the lowest computed polymorph: 5 meV/atom
* space group: P4/mbm, No. 127
* raw total energy: -7.32 eV/atom